# CsCuC3N3 GGA-PBE relaxed
data_CsCuC3N3
_space_group_name_H-M_alt 'F m -3 m'
_space_group_IT_number 225
_space_group_name_Hall '-F 4 2 3'
_cell_length_a 10.647
_cell_length_b 10.647
_cell_length_c 10.647
_cell_angle_alpha 90.00
_cell_angle_beta 90.00
_cell_angle_gamma 90.00
loop_
_atom_site_label
_atom_site_fract_x
_atom_site_fract_y
_atom_site_fract_z
Cs1 0.250 0.250 0.250
Cu1 0.000 0.000 0.000
Cu2 0.000 0.000 0.500
C1 0.000 0.000 0.194
N1 0.000 0.000 0.305
# **Raw total energy**: -6.8621 eV per atom